No. 1
The following is a DFT calculation (PBE) of a geometry-optimized Nd4Y6Ho structure.

- calculated density (g/cm3) = 5.76
- formation energy (eV/atom) = 0.12
- distance to the lowest polymorph of the same formula (eV per formula unit) = 0.00
- volume (Å³ per cell) = 735
- N(E_F) (states/eV per atom) = 1.903
- raw total energy (eV per formula unit) = -61.17

The structure in CIF format:
```
data_Nd4Y6Ho
_symmetry_space_group_name_H-M 'P 1'
_symmetry_Int_Tables_number 1
_symmetry_space_group_name_Hall 'P 1'
_cell_length_a 5.797
_cell_length_b 5.668
_cell_length_c 26.018
_cell_angle_alpha 90.00
_cell_angle_beta 90.00
_cell_angle_gamma 120.76
loop_
_atom_site_label
_atom_site_type_symbol
_atom_site_fract_x
_atom_site_fract_y
_atom_site_fract_z
Y1 Y 0.809 0.618 0.393
Y2 Y 0.856 0.712 0.683
Y3 Y 0.856 0.712 0.817
Y4 Y 0.500 0.000 0.000
Y5 Y 0.144 0.288 0.317
Y6 Y 0.191 0.382 0.607
Y7 Y 0.500 0.000 0.500
Y8 Y 0.191 0.382 0.893
Y9 Y 0.519 0.037 0.750
Y10 Y 0.144 0.288 0.183
Y11 Y 0.481 0.963 0.250
Y12 Y 0.809 0.618 0.107
Nd1 Nd 0.844 0.688 0.955
Nd2 Nd 0.469 0.938 0.378
Nd3 Nd 0.156 0.312 0.455
Nd4 Nd 0.469 0.938 0.122
Nd5 Nd 0.844 0.688 0.545
Nd6 Nd 0.531 0.062 0.622
Nd7 Nd 0.531 0.062 0.878
Nd8 Nd 0.156 0.312 0.045
Ho1 Ho 0.815 0.631 0.250
Ho2 Ho 0.185 0.369 0.750
```

***

No. 2
The following is a DFT calculation (PBE) of a geometry-optimized HoTl3S3 structure.

- calculated density (g/cm3) = 6.90
- volume (Å³ per cell) = 421
- raw total energy (eV per formula unit) = -31.14

The structure in CIF format:
```
data_HoTl3S3
_symmetry_space_group_name_H-M 'P 1'
_symmetry_Int_Tables_number 1
_symmetry_space_group_name_Hall 'P 1'
_cell_length_a 4.048
_cell_length_b 8.755
_cell_length_c 11.900
_cell_angle_alpha 86.57
_cell_angle_beta 90.00
_cell_angle_gamma 90.00
loop_
_atom_site_label
_atom_site_type_symbol
_atom_site_fract_x
_atom_site_fract_y
_atom_site_fract_z
Tl1 Tl 0.250 0.335 0.855
Tl2 Tl 0.250 0.855 0.875
Tl3 Tl 0.750 0.145 0.125
Tl4 Tl 0.750 0.616 0.637
Tl5 Tl 0.250 0.384 0.363
Tl6 Tl 0.750 0.665 0.145
S1 S 0.250 0.899 0.614
S2 S 0.250 0.905 0.154
S3 S 0.250 0.326 0.608
S4 S 0.750 0.101 0.386
S5 S 0.750 0.674 0.392
S6 S 0.750 0.095 0.846
Ho1 Ho 0.250 0.887 0.384
Ho2 Ho 0.750 0.113 0.616
```

***

No. 3
The following is a DFT calculation (PBE) of a geometry-optimized PrGa4CoCu2 structure.

- calculated density (g/cm3) = 7.53
- formation energy (eV/atom) = -0.30
- volume (Å³ per cell) = 134
- N(E_F) (states/eV per atom) = 0.558
- raw total energy (eV per formula unit) = -34.59

The structure in CIF format:
```
data_PrGa4CoCu2
_symmetry_space_group_name_H-M 'P 1'
_symmetry_Int_Tables_number 1
_symmetry_space_group_name_Hall 'P 1'
_cell_length_a 4.159
_cell_length_b 4.159
_cell_length_c 9.231
_cell_angle_alpha 76.98
_cell_angle_beta 76.98
_cell_angle_gamma 60.00
loop_
_atom_site_label
_atom_site_type_symbol
_atom_site_fract_x
_atom_site_fract_y
_atom_site_fract_z
Pr1 Pr 0.000 0.000 0.000
Ga1 Ga 0.406 0.406 0.782
Ga2 Ga 0.134 0.134 0.597
Ga3 Ga 0.866 0.866 0.403
Ga4 Ga 0.594 0.594 0.218
Cu1 Cu 0.234 0.234 0.298
Cu2 Cu 0.766 0.766 0.702
Co1 Co 0.500 0.500 0.500
```

***

No. 4
The following is a DFT calculation (PBE) of a geometry-optimized Ba2AgMo structure.

- calculated density (g/cm3) = 5.99
- formation energy (eV/atom) = 0.69
- distance to the lowest polymorph of the same formula (eV per formula unit) = 0.36
- volume (Å³ per cell) = 133
- N(E_F) (states/eV per atom) = 0.874
- raw total energy (eV per formula unit) = -14.78

The structure in CIF format:
```
data_Ba2AgMo
_symmetry_space_group_name_H-M 'P 1'
_symmetry_Int_Tables_number 1
_symmetry_space_group_name_Hall 'P 1'
_cell_length_a 6.909
_cell_length_b 6.909
_cell_length_c 5.550
_cell_angle_alpha 66.38
_cell_angle_beta 66.38
_cell_angle_gamma 33.46
loop_
_atom_site_label
_atom_site_type_symbol
_atom_site_fract_x
_atom_site_fract_y
_atom_site_fract_z
Mo1 Mo 0.541 0.541 0.460
Ba1 Ba 0.982 0.982 0.018
Ba2 Ba 0.773 0.773 0.727
Ag1 Ag 0.204 0.204 0.295
```

***

No. 5
The following is a DFT calculation (PBE) of a geometry-optimized LaY12Ho3 structure.

- calculated density (g/cm3) = 5.46
- formation energy (eV/atom) = 0.03
- volume (Å³ per cell) = 517
- N(E_F) (states/eV per atom) = 1.460
- raw total energy (eV per formula unit) = -95.79

The structure in CIF format:
```
data_LaY12Ho3
_symmetry_space_group_name_H-M 'P 1'
_symmetry_Int_Tables_number 1
_symmetry_space_group_name_Hall 'P 1'
_cell_length_a 5.057
_cell_length_b 5.057
_cell_length_c 20.235
_cell_angle_alpha 90.00
_cell_angle_beta 90.00
_cell_angle_gamma 90.00
loop_
_atom_site_label
_atom_site_type_symbol
_atom_site_fract_x
_atom_site_fract_y
_atom_site_fract_z
Ho1 Ho 0.000 0.000 0.748
Ho2 Ho 0.000 0.000 0.500
Ho3 Ho 0.000 0.000 0.252
Y1 Y 0.000 0.500 0.624
Y2 Y 0.500 0.000 0.624
Y3 Y 0.500 0.500 0.500
Y4 Y 0.500 0.000 0.872
Y5 Y 0.000 0.500 0.376
Y6 Y 0.500 0.500 0.747
Y7 Y 0.500 0.500 0.000
Y8 Y 0.500 0.000 0.128
Y9 Y 0.000 0.500 0.872
Y10 Y 0.500 0.500 0.253
Y11 Y 0.500 0.000 0.376
Y12 Y 0.000 0.500 0.128
La1 La 0.000 0.000 0.000
```

***

No. 6
The following is a DFT calculation (PBE) of a geometry-optimized Na7CdAu4 structure.

- calculated density (g/cm3) = 5.84
- formation energy (eV/atom) = -0.23
- volume (Å³ per cell) = 302
- N(E_F) (states/eV per atom) = 0.302
- raw total energy (eV per formula unit) = -26.00

The structure in CIF format:
```
data_Na7CdAu4
_symmetry_space_group_name_H-M 'P 1'
_symmetry_Int_Tables_number 1
_symmetry_space_group_name_Hall 'P 1'
_cell_length_a 6.243
_cell_length_b 8.621
_cell_length_c 8.741
_cell_angle_alpha 62.07
_cell_angle_beta 57.78
_cell_angle_gamma 50.62
loop_
_atom_site_label
_atom_site_type_symbol
_atom_site_fract_x
_atom_site_fract_y
_atom_site_fract_z
Na1 Na 0.059 0.686 0.404
Na2 Na 0.941 0.314 0.596
Na3 Na 0.262 0.429 0.071
Na4 Na 0.500 0.000 0.000
Na5 Na 0.195 0.801 0.659
Na6 Na 0.738 0.571 0.929
Na7 Na 0.805 0.199 0.341
Cd1 Cd 0.000 0.000 0.000
Au1 Au 0.366 0.368 0.687
Au2 Au 0.634 0.632 0.313
Au3 Au 0.496 0.980 0.674
Au4 Au 0.504 0.020 0.326
```

***

No. 7
The following is a DFT calculation (PBE) of a geometry-optimized KB3Os structure.

- calculated density (g/cm3) = 6.67
- formation energy (eV/atom) = 3.91
- distance to the lowest polymorph of the same formula (eV per formula unit) = 17.08
- volume (Å³ per cell) = 65
- N(E_F) (states/eV per atom) = 1.545
- raw total energy (eV per formula unit) = -12.81

The structure in CIF format:
```
data_KB3Os
_symmetry_space_group_name_H-M 'P 1'
_symmetry_Int_Tables_number 1
_symmetry_space_group_name_Hall 'P 1'
_cell_length_a 4.024
_cell_length_b 4.024
_cell_length_c 4.024
_cell_angle_alpha 90.00
_cell_angle_beta 90.00
_cell_angle_gamma 90.00
loop_
_atom_site_label
_atom_site_type_symbol
_atom_site_fract_x
_atom_site_fract_y
_atom_site_fract_z
Os1 Os 0.500 0.500 0.500
K1 K 0.000 0.000 0.000
B1 B 0.000 0.000 0.500
B2 B 0.500 0.000 0.000
B3 B 0.000 0.500 0.000
```

***

No. 8
The following is a DFT calculation (PBE) of a geometry-optimized AlTe2Se structure.

- calculated density (g/cm3) = 4.59
- volume (Å³ per cell) = 131
- N(E_F) (states/eV per atom) = 0.462
- raw total energy (eV per formula unit) = -12.84

The structure in CIF format:
```
data_AlTe2Se
_symmetry_space_group_name_H-M 'P 1'
_symmetry_Int_Tables_number 1
_symmetry_space_group_name_Hall 'P 1'
_cell_length_a 8.419
_cell_length_b 8.419
_cell_length_c 8.419
_cell_angle_alpha 152.08
_cell_angle_beta 152.08
_cell_angle_gamma 39.90
loop_
_atom_site_label
_atom_site_type_symbol
_atom_site_fract_x
_atom_site_fract_y
_atom_site_fract_z
Se1 Se 0.750 0.250 0.500
Al1 Al 0.250 0.750 0.500
Te1 Te 0.000 0.000 0.000
Te2 Te 0.500 0.500 0.000
```